A relaxed structure of HoSb, computed with PBE.

```
HoSb
1.0
-0.832 3.770 -2.042
-4.044 0.882 -1.395
-2.372 3.082 1.987
Sb Ho
1 1
Cartesian
0.000 0.000 0.000
-3.624 3.867 -0.725
```

## Properties
Its volume is 29.45 Å³/atom. The total energy comes out at -5.46 eV per atom. For the size of the total moment, the calculation gives 0.00 μB per cell. The energy relative to the elements, uncorrected is -1.1134 eV/atom.


A relaxed structure of Sm2ZnCu3Ge4, computed with PBE.

```
Sm2ZnCu3Ge4
1.0
-1.863 1.196 3.483
0.886 -3.643 1.724
9.096 3.882 3.531
Cu Zn Sm Ge
3 1 2 4
Cartesian
4.548 1.941 1.765
6.946 3.960 4.800
1.661 -1.302 1.335
4.059 0.717 4.369
7.262 1.089 3.510
1.345 1.569 2.625
0.000 0.000 0.000
4.885 3.080 4.000
3.722 -0.422 2.135
-0.489 -1.224 2.604
```

## Properties
Its volume is 17.89 Å³/atom. The total energy comes out at -4.64 eV per atom. The energy relative to the elements comes out at -0.495 eV per atom. For the size of the total moment, the calculation gives 0.00 μB per cell.


A relaxed structure of CaInBr2, computed with PBE.

```
CaInBr2
1.0
-2.397 -0.848 2.532
-0.555 -3.172 -1.588
7.752 -4.308 5.895
Br In Ca
2 1 1
Cartesian
0.693 -0.385 0.527
3.183 -1.769 2.420
4.337 -5.241 4.893
0.462 -3.087 1.946
```

## Properties
Its volume is 34.31 Å³/atom. For the polymorph energy (0 for the lowest one), the calculation gives 132 meV per atom. The total energy comes out at -3.17 eV per atom. For the size of the total moment, the calculation gives 0.00 μB per cell. The energy relative to the elements, uncorrected is -1.1463 eV/atom.


What did the first record say?
A relaxed structure of HoSb, computed with PBE.

```
HoSb
1.0
-0.832 3.770 -2.042
-4.044 0.882 -1.395
-2.372 3.082 1.987
Sb Ho
1 1
Cartesian
0.000 0.000 0.000
-3.624 3.867 -0.725
```

## Properties
Its volume is 29.45 Å³/atom. The total energy comes out at -5.46 eV per atom. For the size of the total moment, the calculation gives 0.00 μB per cell. The energy relative to the elements, uncorrected is -1.1134 eV/atom.


The lowest volume belongs to which entry?
Sm2ZnCu3Ge4